# GeSbPb

Crystalline GeSbPb at its relaxed geometry (PBE, the Alexandria database).

The structure in CIF format:
```
data_GeSbPb
_cell_length_a 3.2492
_cell_length_b 6.1376
_cell_length_c 16.6088
_cell_angle_alpha 90.00
_cell_angle_beta 90.00
_cell_angle_gamma 90.00
_space_group_name_H-M_alt 'I m m m'
_space_group_IT_number 71
_space_group_name_Hall '-I 2 2'
loop_
_atom_site_label
_atom_site_type_symbol
_atom_site_fract_x
_atom_site_fract_y
_atom_site_fract_z
_atom_site_occupancy
Ge1 Ge 0.0000 0.2169 0.0000 1
Sb1 Sb 0.0000 0.5000 0.1400 1
Pb1 Pb 0.0000 0.5000 0.3382 1
```

Results
formation energy without anion corrections = 0.184 eV/atom
density = 8.054 g/cm³
crystal system = orthorhombic
E above lowest polymorph = 59.8 meV per atom
V = 83 Å³/f.u.
magnetic moment = 0.0 μB/f.u.